{"formula": "Mn2BS", "functional": "PBE", "state": "relaxed", "space_group": "Fm-3m", "formation_energy_uncorrected_ev_per_atom": 0.130, "total_energy_ha_per_atom": -0.2630, "total_magnetization_mub_per_cell": 0.000, "dos_at_fermi_per_ev_cell": 2.5, "cell": [[0.000, 2.655, 2.655], [2.655, 0.000, 2.655], [2.655, 2.655, 0.000]], "species": ["S", "Mn", "Mn", "B"], "fractional_positions": [[0.500, 0.500, 0.500], [0.250, 0.250, 0.250], [0.750, 0.750, 0.750], [0.000, 0.000, 0.000]]}